1.
Computed, not measured: crystalline MnCo2Ag at its relaxed geometry at the GGA-PBE level of DFT.

a b c (Å): 4.571 4.571 4.653
angles (deg): 101.07 101.07 34.59
Fractional coordinates of all 4 atoms:
1 Mn 0.000 0.000 0.000
2 Co 0.256 0.256 0.778
3 Co 0.744 0.744 0.222
4 Ag 0.500 0.500 0.500

Summary:
Space group: C2/m
E above lowest polymorph: 138 meV per atom
Spin magnetization: 6.804 μB/f.u.
Fermi-level density of states: 1.1149 states/eV per atom



2.
Computed, not measured: crystalline MnCo2Ag at its relaxed geometry at the GGA-PBE level of DFT.

a b c (Å): 5.003 5.003 5.003
angles (deg): 145.83 129.22 62.64
Fractional coordinates of all 4 atoms:
1 Mn 0.000 0.000 0.000
2 Co 0.237 0.737 0.500
3 Co 0.763 0.263 0.500
4 Ag 0.500 0.500 0.000

Summary:
Space group: Immm
E above lowest polymorph: 154 meV per atom
Spin magnetization: 6.809 μB/f.u.
Fermi-level density of states: 1.1508 states/eV per atom



3.
Computed, not measured: crystalline MnCo2Ag at its relaxed geometry at the GGA-PBE level of DFT.

a b c (Å): 5.271 5.271 5.271
angles (deg): 103.83 103.83 121.46
Fractional coordinates of all 8 atoms:
1 Mn 0.000 0.000 0.000
2 Mn 0.750 0.250 0.500
3 Co 0.081 0.625 0.956
4 Co 0.375 0.331 0.456
5 Co 0.669 0.125 0.044
6 Co 0.875 0.919 0.544
7 Ag 0.250 0.750 0.500
8 Ag 0.500 0.500 0.000

Summary:
Space group: I-42d
E above lowest polymorph: 541 meV per atom
Spin magnetization: 1.908 μB/f.u.
Fermi-level density of states: 1.2854 states/eV per atom



4.
Computed, not measured: crystalline MnCo2Ag2 at its relaxed geometry at the GGA-PBE level of DFT.

a b c (Å): 6.396 6.396 6.396
angles (deg): 145.89 145.89 49.01
Fractional coordinates of all 5 atoms:
1 Mn 0.000 0.000 0.000
2 Co 0.411 0.411 0.000
3 Co 0.589 0.589 0.000
4 Ag 0.250 0.750 0.500
5 Ag 0.750 0.250 0.500

Summary:
Space group: I4/mmm
E above lowest polymorph: 124 meV per atom
Spin magnetization: 7.629 μB/f.u.
Fermi-level density of states: 0.6218 states/eV per atom